Arrangement w

Entry from Alexandria via LeMat-Bulk: a relaxed BrOF2 crystal (PBE).

Cell lengths 3.1888, 3.1888, 24.1977 Å; angles 90.00, 90.00, 120.00 degrees
Space group R-3m (No. 166, hexagonal axes)
Symmetry-distinct sites (fractional):
1 Br 0.0000 0.0000 0.0000
2 O 0.0000 0.0000 0.5000
3 F 0.0000 0.0000 0.0776

DOS at the Fermi energy	2.84	states/eV/f.u.
crystal system	trigonal

Arrangement x

Entry from Alexandria via LeMat-Bulk: a relaxed BrOF2 crystal (PBE).

Cell lengths 3.0233, 3.0233, 26.5549 Å; angles 90.00, 90.00, 120.00 degrees
Space group R-3m (No. 166, hexagonal axes)
Symmetry-distinct sites (fractional):
1 Br 0.0000 0.0000 0.0000
2 O 0.0000 0.0000 0.5000
3 F 0.0000 0.0000 0.4397

DOS at the Fermi energy	2.43	states/eV/f.u.
crystal system	trigonal

Arrangement y

Entry from Alexandria via LeMat-Bulk: a relaxed BrOF2 crystal (PBE).

Cell lengths 5.6749, 5.6749, 5.6749 Å; angles 90.00, 90.00, 90.00 degrees
Space group Fm-3m (No. 225)
Symmetry-distinct sites (fractional):
1 Br 0.0000 0.0000 0.0000
2 O 0.0000 0.0000 0.5000
3 F 0.2500 0.2500 0.2500

DOS at the Fermi energy	3.60	states/eV/f.u.
crystal system	cubic

The least stable of the structures above is arrangement y, whereas arrangement w is the most stable.